Density functional theory data (PBE) for a relaxed structure of TbNdGe.

As for the energy relative to the lowest polymorph listed for this composition: 0 meV/atom. The value obtained for the total DFT energy (no corrections) is -0.193 hartree per atom.

The structure belongs to space group I4/mmm (No. 139); the cell edges are 4.454, 4.454 and 16.425 Å and the angles 90.00°, 90.00° and 90.00°. The distinct sites, in fractional coordinates, are Tb at (0.000, 0.000, 0.182), Nd at (0.000, 0.500, 0.000) and Ge at (0.000, 0.000, 0.361).